No. 1
# Zr6Tl3Pd (PBE-GGA, optimized geometry)
# Calculated volume, Å³/f.u.: 232
# Total DFT energy (no corrections), eV per cell: -125.67
# Formation energy, eV per formula unit: 0.7
data_Zr6Tl3Pd
_symmetry_space_group_name_H-M 'C 1 2/m 1'
_symmetry_Int_Tables_number 12
_symmetry_space_group_name_Hall '-C 2y'
_cell_length_a 10.509
_cell_length_b 5.810
_cell_length_c 7.985
_cell_angle_alpha 90.00
_cell_angle_beta 107.67
_cell_angle_gamma 90.00
loop_
_atom_site_label
_atom_site_type_symbol
_atom_site_fract_x
_atom_site_fract_y
_atom_site_fract_z
Zr1 Zr 0.133 0.000 0.428
Zr2 Zr 0.144 0.246 0.819
Tl1 Tl 0.000 0.500 0.500
Tl2 Tl 0.118 0.500 0.196
Pd1 Pd 0.000 0.000 0.000

No. 2
# Mg2ZrHgH (PBE-GGA, optimized geometry)
# Calculated volume, Å³/f.u.: 84
# Total DFT energy (no corrections), eV per cell: -16.36
data_Mg2ZrHgH
_symmetry_space_group_name_H-M 'P 4/m m m'
_symmetry_Int_Tables_number 123
_symmetry_space_group_name_Hall '-P 4 2'
_cell_length_a 4.472
_cell_length_b 4.472
_cell_length_c 4.216
_cell_angle_alpha 90.00
_cell_angle_beta 90.00
_cell_angle_gamma 90.00
loop_
_atom_site_label
_atom_site_type_symbol
_atom_site_fract_x
_atom_site_fract_y
_atom_site_fract_z
Mg1 Mg 0.000 0.500 0.000
Zr1 Zr 0.000 0.000 0.500
Hg1 Hg 0.500 0.500 0.500
H1 H 0.000 0.000 0.000

No. 3
# Nd2HoRh3 (PBE-GGA, optimized geometry)
# Calculated volume, Å³/f.u.: 129
# Total DFT energy (no corrections), eV per cell: -80.94
# Energy relative to the lowest polymorph listed for this composition, meV/atom: 0
# Formation energy, eV per formula unit: -4.3
data_Nd2HoRh3
_symmetry_space_group_name_H-M 'P 1 2/m 1'
_symmetry_Int_Tables_number 10
_symmetry_space_group_name_Hall '-P 2y'
_cell_length_a 4.911
_cell_length_b 7.104
_cell_length_c 7.767
_cell_angle_alpha 90.00
_cell_angle_beta 108.28
_cell_angle_gamma 90.00
loop_
_atom_site_label
_atom_site_type_symbol
_atom_site_fract_x
_atom_site_fract_y
_atom_site_fract_z
Nd1 Nd 0.000 0.000 0.000
Nd2 Nd 0.000 0.500 0.000
Nd3 Nd 0.333 0.000 0.666
Ho1 Ho 0.332 0.500 0.664
Rh1 Rh 0.170 0.262 0.339
Rh2 Rh 0.500 0.257 0.000

No. 4
# ScHg2Ge (PBE-GGA, optimized geometry)
# Calculated volume, Å³/f.u.: 91
# Total DFT energy (no corrections), eV per cell: -47.77
# Formation energy, eV per formula unit: -0.4
data_ScHg2Ge
_symmetry_space_group_name_H-M 'I -4 2 d'
_symmetry_Int_Tables_number 122
_symmetry_space_group_name_Hall 'I -4 2bw'
_cell_length_a 7.959
_cell_length_b 7.959
_cell_length_c 5.767
_cell_angle_alpha 90.00
_cell_angle_beta 90.00
_cell_angle_gamma 90.00
loop_
_atom_site_label
_atom_site_type_symbol
_atom_site_fract_x
_atom_site_fract_y
_atom_site_fract_z
Sc1 Sc 0.000 0.000 0.000
Hg1 Hg 0.227 0.250 0.625
Ge1 Ge 0.000 0.000 0.500

No. 5
# AlSnTe2I (PBE-GGA, optimized geometry)
# Calculated volume, Å³/f.u.: 161
# Total DFT energy (no corrections), eV per cell: -15.29
# Energy relative to the lowest polymorph listed for this composition, meV/atom: 0
data_AlSnTe2I
_symmetry_space_group_name_H-M 'P 4/m m m'
_symmetry_Int_Tables_number 123
_symmetry_space_group_name_Hall '-P 4 2'
_cell_length_a 5.426
_cell_length_b 5.426
_cell_length_c 5.476
_cell_angle_alpha 90.00
_cell_angle_beta 90.00
_cell_angle_gamma 90.00
loop_
_atom_site_label
_atom_site_type_symbol
_atom_site_fract_x
_atom_site_fract_y
_atom_site_fract_z
Al1 Al 0.000 0.000 0.000
Sn1 Sn 0.500 0.500 0.500
Te1 Te 0.000 0.500 0.000
I1 I 0.000 0.000 0.500

No. 6
# Ba4FeSi (PBE-GGA, optimized geometry)
# Calculated volume, Å³/f.u.: 244
# Total DFT energy (no corrections), eV per cell: -62.50
data_Ba4FeSi
_symmetry_space_group_name_H-M 'F -4 3 m'
_symmetry_Int_Tables_number 216
_symmetry_space_group_name_Hall 'F -4 2 3'
_cell_length_a 9.924
_cell_length_b 9.924
_cell_length_c 9.924
_cell_angle_alpha 90.00
_cell_angle_beta 90.00
_cell_angle_gamma 90.00
loop_
_atom_site_label
_atom_site_type_symbol
_atom_site_fract_x
_atom_site_fract_y
_atom_site_fract_z
Ba1 Ba 0.125 0.125 0.125
Fe1 Fe 0.250 0.250 0.750
Si1 Si 0.000 0.000 0.500

No. 7
# ReIBr4 (PBE-GGA, optimized geometry)
# Calculated volume, Å³/f.u.: 217
# Total DFT energy (no corrections), eV per cell: -41.86
# Energy relative to the lowest polymorph listed for this composition, meV/atom: 0
data_ReIBr4
_symmetry_space_group_name_H-M 'P 1 21/c 1'
_symmetry_Int_Tables_number 14
_symmetry_space_group_name_Hall '-P 2ybc'
_cell_length_a 5.767
_cell_length_b 13.862
_cell_length_c 6.151
_cell_angle_alpha 90.00
_cell_angle_beta 118.13
_cell_angle_gamma 90.00
loop_
_atom_site_label
_atom_site_type_symbol
_atom_site_fract_x
_atom_site_fract_y
_atom_site_fract_z
Re1 Re 0.000 0.000 0.000
I1 I 0.500 0.000 0.000
Br1 Br 0.159 0.126 0.316
Br2 Br 0.162 0.623 0.822

No. 8
# Pm4Sm2Er3 (PBE-GGA, optimized geometry)
# Calculated volume, Å³/f.u.: 296
# Total DFT energy (no corrections), eV per cell: -83.96
# Energy relative to the lowest polymorph listed for this composition, meV/atom: 0
# Formation energy, eV per formula unit: 0.2
data_Pm4Sm2Er3
_symmetry_space_group_name_H-M 'C 1 2/m 1'
_symmetry_Int_Tables_number 12
_symmetry_space_group_name_Hall '-C 2y'
_cell_length_a 11.367
_cell_length_b 5.091
_cell_length_c 10.786
_cell_angle_alpha 90.00
_cell_angle_beta 108.26
_cell_angle_gamma 90.00
loop_
_atom_site_label
_atom_site_type_symbol
_atom_site_fract_x
_atom_site_fract_y
_atom_site_fract_z
Pm1 Pm 0.001 0.000 0.334
Pm2 Pm 0.166 0.500 0.888
Sm1 Sm 0.168 0.500 0.224
Er1 Er 0.000 0.000 0.000
Er2 Er 0.166 0.500 0.554